(1)
The following is a PBE-GGA calculation of crystalline HgOsRu2 at its relaxed geometry, from the Alexandria database.

Summary:
energy of formation from the pure elements = 0.783 eV/atom

```
HgOsRu2
1.0
-1.949 3.372 -0.095
-3.466 -2.000 0.094
0.033 0.132 4.001
Hg Os Ru
1 1 2
Direct
0.500 0.500 0.000
0.500 0.000 0.500
0.000 0.000 0.000
0.000 0.500 0.500
```

(2)
The following is a PBE-GGA calculation of crystalline HgOsRu2 at its relaxed geometry, from the Alexandria database.

Summary:
energy of formation from the pure elements = 0.728 eV/atom

```
HgOsRu2
1.0
-0.398 1.094 2.510
-1.264 -2.372 -0.655
7.552 -4.951 3.355
Hg Os Ru
1 1 2
Direct
0.000 0.000 0.497
0.500 0.500 0.770
0.000 0.000 0.001
0.500 0.500 0.232
```

(3)
The following is a PBE-GGA calculation of crystalline Hg2OsRu at its relaxed geometry, from the Alexandria database.

Summary:
offset from the most stable computed form = 256 meV per atom
energy of formation from the pure elements = 0.618 eV/atom

```
Hg2OsRu
1.0
-1.067 0.936 3.840
-0.949 -1.814 3.545
7.079 -0.190 4.614
Hg Os Ru
2 1 1
Direct
0.007 0.007 0.975
0.246 0.246 0.275
0.515 0.515 0.557
0.732 0.732 0.693
```

(4)
The following is a PBE-GGA calculation of crystalline HgOsRu2 at its relaxed geometry, from the Alexandria database.

Summary:
energy of formation from the pure elements = 0.326 eV/atom

```
HgOsRu2
1.0
2.817 0.000 0.000
0.000 2.817 0.000
0.000 0.000 7.890
Hg Os Ru
1 1 2
Direct
0.500 0.500 0.250
0.500 0.500 0.750
0.000 0.000 0.973
0.000 0.000 0.527
```

(5)
The following is a PBE-GGA calculation of crystalline Hg2OsRu at its relaxed geometry, from the Alexandria database.

Summary:
offset from the most stable computed form = 611 meV per atom
energy of formation from the pure elements = 0.974 eV/atom

```
Hg2OsRu
1.0
-0.979 3.973 2.145
-3.859 2.309 -1.062
-3.485 0.193 3.028
Hg Os Ru
2 1 1
Direct
0.000 0.000 0.000
0.250 0.250 0.250
0.500 0.500 0.500
0.750 0.750 0.750
```

(6)
The following is a PBE-GGA calculation of crystalline HgOsRu2 at its relaxed geometry, from the Alexandria database.

Summary:
energy of formation from the pure elements = 0.439 eV/atom

```
HgOsRu2
1.0
-6.669 -5.816 -3.261
-5.546 -7.508 -1.346
-7.511 -5.670 -0.604
Hg Os Ru
1 1 2
Direct
0.501 0.501 0.501
0.742 0.742 0.742
0.000 0.000 0.000
0.257 0.257 0.257
```

(7)
The following is a PBE-GGA calculation of crystalline Hg3OsRu at its relaxed geometry, from the Alexandria database.

Summary:
offset from the most stable computed form = 0 meV per atom
energy of formation from the pure elements = 1.638 eV/atom

```
Hg3OsRu
1.0
-1.067 0.613 5.026
4.213 -2.742 1.229
2.809 4.345 0.066
Ru Os Hg
1 1 3
Direct
0.500 0.500 0.500
0.000 0.000 0.000
0.000 0.500 0.000
0.000 0.000 0.500
0.500 0.000 0.000
```

(8)
The following is a PBE-GGA calculation of crystalline Hg2OsRu at its relaxed geometry, from the Alexandria database.

Summary:
offset from the most stable computed form = 451 meV per atom
energy of formation from the pure elements = 0.813 eV/atom

```
Hg2OsRu
1.0
9.509 0.022 0.013
9.055 2.903 0.013
9.055 1.427 2.528
Hg Os Ru
2 1 1
Direct
0.001 0.001 0.001
0.499 0.499 0.499
0.250 0.250 0.250
0.750 0.750 0.750
```

(9)
The following is a PBE-GGA calculation of crystalline HgOsRu2 at its relaxed geometry, from the Alexandria database.

Summary:
energy of formation from the pure elements = 0.873 eV/atom

```
HgOsRu2
1.0
4.478 0.000 0.000
2.239 3.878 0.000
2.239 1.293 3.656
Hg Os Ru
1 1 2
Direct
0.500 0.500 0.500
0.750 0.750 0.750
0.000 0.000 0.000
0.250 0.250 0.250
```

(10)
The following is a PBE-GGA calculation of crystalline Hg4OsRu at its relaxed geometry, from the Alexandria database.

Summary:
energy of formation from the pure elements = 1.255 eV/atom

```
Hg4OsRu
1.0
-3.338 -1.211 4.260
-4.049 -3.738 -0.625
0.374 -4.937 2.499
Hg Os Ru
4 1 1
Direct
0.875 0.375 0.375
0.375 0.375 0.875
0.375 0.875 0.375
0.375 0.375 0.375
0.750 0.750 0.750
0.000 0.000 0.000
```

(11)
The following is a PBE-GGA calculation of crystalline HgOsRu2 at its relaxed geometry, from the Alexandria database.

Summary:
energy of formation from the pure elements = 0.474 eV/atom

```
HgOsRu2
1.0
-1.074 0.971 2.384
2.249 -0.902 1.381
3.611 7.078 -1.257
Hg Os Ru
1 1 2
Direct
0.000 0.000 0.498
0.500 0.500 0.778
0.000 0.000 0.999
0.500 0.500 0.226
```

(12)
The following is a PBE-GGA calculation of crystalline Hg2OsRu at its relaxed geometry, from the Alexandria database.

Summary:
offset from the most stable computed form = 624 meV per atom
energy of formation from the pure elements = 0.986 eV/atom

```
Hg2OsRu
1.0
4.637 0.000 0.000
0.000 4.637 0.000
0.000 0.000 3.231
Hg Os Ru
2 1 1
Direct
0.000 0.000 0.000
0.500 0.500 0.000
0.500 0.000 0.500
0.000 0.500 0.500
```

(13)
The following is a PBE-GGA calculation of crystalline Hg2OsRu at its relaxed geometry, from the Alexandria database.

Summary:
offset from the most stable computed form = 302 meV per atom
energy of formation from the pure elements = 0.664 eV/atom

```
Hg2OsRu
1.0
2.884 -0.002 0.000
-1.480 2.475 0.000
0.000 0.000 10.274
Hg Os Ru
2 1 1
Direct
0.000 0.000 0.978
0.500 0.500 0.269
0.000 0.000 0.525
0.500 0.500 0.728
```

(14)
The following is a PBE-GGA calculation of crystalline Hg2OsRu at its relaxed geometry, from the Alexandria database.

Summary:
offset from the most stable computed form = 954 meV per atom
energy of formation from the pure elements = 1.316 eV/atom

```
Hg2OsRu
1.0
7.594 0.000 0.000
0.000 7.594 0.000
3.797 3.797 2.659
Ru Os Hg
2 2 4
Direct
0.500 0.500 0.000
0.250 0.750 0.500
0.000 0.000 0.000
0.750 0.250 0.500
0.625 0.125 0.250
0.125 0.625 0.250
0.375 0.375 0.750
0.875 0.875 0.750
```

(15)
The following is a PBE-GGA calculation of crystalline Hg2OsRu at its relaxed geometry, from the Alexandria database.

Summary:
offset from the most stable computed form = 511 meV per atom
energy of formation from the pure elements = 0.873 eV/atom

```
Hg2OsRu
1.0
-0.190 2.624 -1.144
-2.378 -1.580 0.274
-1.480 3.767 8.889
Hg Os Ru
2 1 1
Direct
0.000 0.000 0.998
0.000 0.000 0.502
0.500 0.500 0.250
0.500 0.500 0.750
```

(16)
The following is a PBE-GGA calculation of crystalline Hg2OsRu at its relaxed geometry, from the Alexandria database.

Summary:
offset from the most stable computed form = 518 meV per atom
energy of formation from the pure elements = 0.880 eV/atom

```
Hg2OsRu
1.0
4.868 0.000 0.000
0.000 2.863 -0.010
0.000 0.055 5.038
Hg Os Ru
2 1 1
Direct
0.000 0.005 0.999
0.000 0.495 0.501
0.500 0.250 0.250
0.500 0.750 0.750
```

(17)
The following is a PBE-GGA calculation of crystalline Hg2OsRu at its relaxed geometry, from the Alexandria database.

Summary:
offset from the most stable computed form = 545 meV per atom
energy of formation from the pure elements = 0.907 eV/atom

```
Hg2OsRu
1.0
-3.900 0.229 -3.076
-3.540 -2.997 1.790
2.624 3.606 2.197
Hg Os Ru
2 1 1
Direct
0.000 0.000 0.000
0.250 0.750 0.500
0.500 0.500 0.000
0.750 0.250 0.500
```

(18)
The following is a PBE-GGA calculation of crystalline HgOs2Ru4 at its relaxed geometry, from the Alexandria database.

Summary:
energy of formation from the pure elements = 2.052 eV/atom

```
HgOs2Ru4
1.0
-4.127 -2.146 -1.417
1.408 -4.128 2.150
-4.106 -1.332 5.631
Ru Os Hg
4 2 1
Direct
0.782 0.782 0.437
0.218 0.218 0.563
0.000 0.500 0.000
0.500 0.000 0.000
0.599 0.599 0.801
0.401 0.401 0.199
0.000 0.000 0.000
```

(19)
The following is a PBE-GGA calculation of crystalline HgOsRu2 at its relaxed geometry, from the Alexandria database.

Summary:
energy of formation from the pure elements = 0.546 eV/atom

```
HgOsRu2
1.0
-1.717 -1.192 3.307
1.593 -2.267 0.009
5.604 0.579 3.119
Hg Os Ru
1 1 2
Direct
0.000 0.504 0.496
0.500 0.709 0.790
0.000 0.010 0.990
0.500 0.277 0.225
```

(20)
The following is a PBE-GGA calculation of crystalline HgOsRu2 at its relaxed geometry, from the Alexandria database.

Summary:
energy of formation from the pure elements = 0.899 eV/atom

```
HgOsRu2
1.0
-2.039 1.765 0.907
-2.329 -3.664 1.895
2.317 0.609 4.027
Hg Os Ru
1 1 2
Direct
0.500 0.000 0.500
0.000 0.500 0.500
0.000 0.000 0.000
0.500 0.500 0.000
```